CsVF3: optimized geometry, PBE with a Hubbard U.

Unit cell a=10.969 b=10.969 c=10.969 alpha=155.13 beta=155.13 gamma=35.47
Sites, in units of the cell vectors:
Cs: 0.105 0.105 0.000
Cs: 0.895 0.895 0.000
V: 0.500 0.500 0.000
V: 0.750 0.250 0.500
F: 0.002 0.502 0.500
F: 0.072 0.320 0.752
F: 0.498 0.998 0.500
F: 0.568 0.320 0.248
F: 0.680 0.432 0.752
F: 0.680 0.928 0.248

Properties
Calculated density ... 3430 kg/m³
Density of states at the Fermi level ... 0.50 states/eV/atom
V ... 233.2 Å³/cell
Uncorrected energy ... -4.99 eV per atom